First-principles (meta-GGA SCAN) data for CdCuP2O at its PBEsol-relaxed geometry, as listed in the Alexandria database.

The space group is P4/mmm (No. 123) and the conventional cell measures 4.733, 4.733 and 3.504 Å, with angles of 90.00, 90.00 and 90.00 degrees. The inequivalent atoms are Cd at (0.000, 0.000, 0.000), Cu at (0.500, 0.500, 0.500), P at (0.000, 0.500, 0.500) and O at (0.500, 0.500, 0.000).

The value obtained for the uncorrected formation energy is 412 meV per atom.



First-principles (meta-GGA SCAN) data for CdCuSe2O6 at its PBEsol-relaxed geometry, as listed in the Alexandria database.

The space group is P2_1/c (No. 14) and the conventional cell measures 7.519, 10.442 and 7.169 Å, with angles of 90.00, 93.56 and 90.00 degrees. The inequivalent atoms are Cd at (0.238, 0.052, 0.022), Cu at (0.184, 0.084, 0.480), Se at (0.069, 0.726, 0.745), Se at (0.442, 0.606, 0.192), O at (0.045, 0.625, 0.933), O at (0.047, 0.616, 0.565), O at (0.143, 0.206, 0.274), O at (0.282, 0.013, 0.715), O at (0.368, 0.010, 0.336) and O at (0.484, 0.639, 0.423).

The value obtained for the uncorrected formation energy is -1003 meV per atom.



no.,total moment (μB per cell)
1,0.0
2,4.0